Density functional theory data (PBE) for a relaxed structure of Nd2Ge.

a b c (Å): 8.2122 8.2122 4.3203
angles (deg): 90.00 90.00 120.00
Space group P-62m (No. 189)
One atom of each set of equivalent atoms:
Nd (0.0000, 0.4102, 0.0000) [3 per cell]
Nd (0.0000, 0.7342, 0.5000) [3 per cell]
Ge (0.0000, 0.0000, 0.0000) [1 per cell]
Ge (0.3333, 0.6667, 0.5000) [2 per cell]

## Properties
distance to the lowest polymorph of the same formula = 0.000 eV per atom